Record 1
CrAg2Sb: optimized geometry, PBE.

formation energy without anion corrections	0.94	eV/f.u.
total energy	-4.6274	eV/atom
calculated volume	154.5	Å³/cell
DOS at the Fermi energy	3.39	states/eV per cell
magnetization	4.20	μB per formula unit

abc: 4.4151 4.4151 7.9254
angles: 90.00 90.00 90.00
Space group I-4m2 (No. 119)
One atom of each set of equivalent atoms:
Cr: 0.0000 0.0000 0.0000 (multiplicity 2)
Ag: 0.0000 0.0000 0.5000 (multiplicity 2)
Ag: 0.0000 0.5000 0.7500 (multiplicity 2)
Sb: 0.0000 0.5000 0.2500 (multiplicity 2)

Record 2
CrAg2Sb: optimized geometry, PBE.

formation energy without anion corrections	0.98	eV/f.u.
total energy	-4.6183	eV/atom
calculated volume	308.9	Å³/cell
DOS at the Fermi energy	8.66	states/eV per cell
magnetization	4.04	μB per formula unit

abc: 6.7601 6.7601 6.7601
angles: 90.00 90.00 90.00
Space group F-43m (No. 216)
One atom of each set of equivalent atoms:
Cr: 0.0000 0.0000 0.0000 (multiplicity 4)
Ag: 0.0000 0.0000 0.5000 (multiplicity 4)
Ag: 0.2500 0.2500 0.7500 (multiplicity 4)
Sb: 0.2500 0.2500 0.2500 (multiplicity 4)

Record 3
CrAg2Sb: optimized geometry, PBE.

formation energy without anion corrections	1.47	eV/f.u.
total energy	-4.4944	eV/atom
calculated volume	239.5	Å³/cell
DOS at the Fermi energy	5.90	states/eV per cell
magnetization	3.70	μB per formula unit

abc: 3.1719 3.1719 27.4939
angles: 90.00 90.00 120.00
Space group R3m (No. 160, hexagonal axes)
One atom of each set of equivalent atoms:
Cr: 0.0000 0.0000 0.0000 (multiplicity 3)
Ag: 0.0000 0.0000 0.2555 (multiplicity 3)
Ag: 0.0000 0.0000 0.5068 (multiplicity 3)
Sb: 0.0000 0.0000 0.7450 (multiplicity 3)

Record 4
CrAgSb3: optimized geometry, PBE.

formation energy without anion corrections	2.45	eV/f.u.
total energy	-4.4785	eV/atom
calculated volume	128.4	Å³/cell
DOS at the Fermi energy	3.37	states/eV per cell
magnetization	1.38	μB per formula unit
distance to the lowest polymorph of the same formula	0	meV/atom

abc: 5.0455 5.0455 5.0455
angles: 90.00 90.00 90.00
Space group Pm-3m (No. 221)
One atom of each set of equivalent atoms:
Cr: 0.0000 0.0000 0.0000 (multiplicity 1)
Ag: 0.5000 0.5000 0.5000 (multiplicity 1)
Sb: 0.0000 0.0000 0.5000 (multiplicity 3)

Record 5
CrAg2Sb: optimized geometry, PBE.

formation energy without anion corrections	2.87	eV/f.u.
total energy	-4.1438	eV/atom
calculated volume	312.9	Å³/cell
DOS at the Fermi energy	26.99	states/eV per cell
magnetization	0.20	μB per formula unit

abc: 7.6864 7.6864 5.2953
angles: 90.00 90.00 90.00
Space group I-42d (No. 122)
One atom of each set of equivalent atoms:
Cr: 0.0000 0.0000 0.0000 (multiplicity 4)
Ag: 0.2338 0.2500 0.1250 (multiplicity 8)
Sb: 0.0000 0.0000 0.5000 (multiplicity 4)

Record 6
CrAgSb: optimized geometry, PBE.

formation energy without anion corrections	1.33	eV/f.u.
total energy	-5.0877	eV/atom
calculated volume	62.2	Å³/cell
DOS at the Fermi energy	2.54	states/eV per cell
magnetization	3.84	μB per formula unit
distance to the lowest polymorph of the same formula	264	meV/atom

abc: 3.2404 3.2404 6.8386
angles: 90.00 90.00 120.00
Space group P3m1 (No. 156)
One atom of each set of equivalent atoms:
Cr: 0.0000 0.0000 0.0000 (multiplicity 1)
Ag: 0.6667 0.3333 0.6919 (multiplicity 1)
Sb: 0.3333 0.6667 0.3109 (multiplicity 1)

Record 7
CrAg2Sb: optimized geometry, PBE.

formation energy without anion corrections	0.97	eV/f.u.
total energy	-4.6191	eV/atom
calculated volume	156.0	Å³/cell
DOS at the Fermi energy	3.70	states/eV per cell
magnetization	4.18	μB per formula unit

abc: 10.0762 3.1537 4.9701
angles: 90.00 99.02 90.00
Space group C2/m (No. 12)
One atom of each set of equivalent atoms:
Cr: 0.0000 0.0000 0.0000 (multiplicity 2)
Ag: 0.2433 0.5000 0.2367 (multiplicity 4)
Sb: 0.0000 0.5000 0.5000 (multiplicity 2)

Record 8
CrAg2Sb: optimized geometry, PBE.

formation energy without anion corrections	0.83	eV/f.u.
total energy	-4.6544	eV/atom
calculated volume	152.8	Å³/cell
DOS at the Fermi energy	3.80	states/eV per cell
magnetization	3.81	μB per formula unit

abc: 4.0624 4.0624 9.2567
angles: 90.00 90.00 90.00
Space group I4/mmm (No. 139)
One atom of each set of equivalent atoms:
Cr: 0.0000 0.0000 0.0000 (multiplicity 2)
Ag: 0.0000 0.5000 0.2500 (multiplicity 4)
Sb: 0.0000 0.0000 0.5000 (multiplicity 2)

Record 9
CrAg2Sb: optimized geometry, PBE.

formation energy without anion corrections	1.10	eV/f.u.
total energy	-4.5877	eV/atom
calculated volume	78.6	Å³/cell
DOS at the Fermi energy	1.40	states/eV per cell
magnetization	3.96	μB per formula unit

abc: 3.3315 4.1450 5.6952
angles: 90.00 90.00 90.00
Space group Pmmm (No. 47)
One atom of each set of equivalent atoms:
Cr: 0.0000 0.0000 0.0000 (multiplicity 1)
Ag: 0.5000 0.5000 0.2385 (multiplicity 2)
Sb: 0.0000 0.0000 0.5000 (multiplicity 1)

Record 10
CrAgSb4: optimized geometry, PBE.

formation energy without anion corrections	3.76	eV/f.u.
total energy	-4.2011	eV/atom
calculated volume	665.9	Å³/cell
DOS at the Fermi energy	9.23	states/eV per cell
magnetization	4.54	μB per formula unit

abc: 8.7323 8.7323 8.7323
angles: 90.00 90.00 90.00
Space group F-43m (No. 216)
One atom of each set of equivalent atoms:
Cr: 0.0000 0.0000 0.0000 (multiplicity 4)
Ag: 0.2500 0.2500 0.2500 (multiplicity 4)
Sb: 0.1243 0.1243 0.6243 (multiplicity 16)

Record 11
CrAgSb: optimized geometry, PBE.

formation energy without anion corrections	1.10	eV/f.u.
total energy	-5.1649	eV/atom
calculated volume	122.3	Å³/cell
DOS at the Fermi energy	2.17	states/eV per cell
magnetization	3.75	μB per formula unit
distance to the lowest polymorph of the same formula	187	meV/atom

abc: 3.1742 3.1742 12.1428
angles: 90.00 90.00 90.00
Space group I4mm (No. 107)
One atom of each set of equivalent atoms:
Cr: 0.0000 0.0000 0.0000 (multiplicity 2)
Ag: 0.0000 0.0000 0.3516 (multiplicity 2)
Sb: 0.0000 0.0000 0.6491 (multiplicity 2)

Record 12
CrAgSb: optimized geometry, PBE.

formation energy without anion corrections	0.54	eV/f.u.
total energy	-5.3515	eV/atom
calculated volume	118.7	Å³/cell
DOS at the Fermi energy	3.31	states/eV per cell
magnetization	2.50	μB per formula unit
distance to the lowest polymorph of the same formula	0	meV/atom

abc: 4.2657 4.2657 6.5249
angles: 90.00 90.00 90.00
Space group P4/nmm (No. 129, origin choice 2)
One atom of each set of equivalent atoms:
Cr: 0.2500 0.7500 0.0000 (multiplicity 2)
Ag: 0.2500 0.2500 0.3035 (multiplicity 2)
Sb: 0.2500 0.2500 0.7430 (multiplicity 2)

Record 13
CrAgSb: optimized geometry, PBE.

formation energy without anion corrections	0.98	eV/f.u.
total energy	-5.2062	eV/atom
calculated volume	119.9	Å³/cell
DOS at the Fermi energy	3.31	states/eV per cell
magnetization	3.94	μB per formula unit
distance to the lowest polymorph of the same formula	145	meV/atom

abc: 3.3345 4.0196 8.9432
angles: 90.00 90.00 90.00
Space group Imm2 (No. 44)
One atom of each set of equivalent atoms:
Cr: 0.0000 0.0000 0.0000 (multiplicity 2)
Ag: 0.0000 0.0000 0.3327 (multiplicity 2)
Sb: 0.0000 0.0000 0.6507 (multiplicity 2)

Record 14
CrAgSb2Te: optimized geometry, PBE.

formation energy without anion corrections	2.49	eV/f.u.
total energy	-4.2745	eV/atom
calculated volume	136.2	Å³/cell
DOS at the Fermi energy	3.57	states/eV per cell
magnetization	2.27	μB per formula unit
distance to the lowest polymorph of the same formula	0	meV/atom

abc: 5.0425 5.0425 5.3576
angles: 90.00 90.00 90.00
Space group P4/mmm (No. 123)
One atom of each set of equivalent atoms:
Cr: 0.0000 0.0000 0.0000 (multiplicity 1)
Ag: 0.5000 0.5000 0.5000 (multiplicity 1)
Sb: 0.0000 0.5000 0.0000 (multiplicity 2)
Te: 0.0000 0.0000 0.5000 (multiplicity 1)

Record 15
CrAgSb2Te: optimized geometry, PBE.

formation energy without anion corrections	4.54	eV/f.u.
total energy	-3.8650	eV/atom
calculated volume	156.0	Å³/cell
DOS at the Fermi energy	3.44	states/eV per cell
magnetization	4.13	μB per formula unit
distance to the lowest polymorph of the same formula	409	meV/atom

abc: 5.3224 5.3224 5.5055
angles: 90.00 90.00 90.00
Space group P4/mmm (No. 123)
One atom of each set of equivalent atoms:
Cr: 0.0000 0.0000 0.0000 (multiplicity 1)
Ag: 0.5000 0.5000 0.5000 (multiplicity 1)
Sb: 0.0000 0.5000 0.5000 (multiplicity 2)
Te: 0.5000 0.5000 0.0000 (multiplicity 1)